CeNdPt2 | PBE | optimized geometry

## Properties
N(E_F) ... 1.74 states/eV per atom
Formation energy ... -1.12 eV/atom
Space group ... No. 38
Energy relative to the lowest polymorph listed for this composition ... 0.0000 eV/atom

Structure (POSCAR):
```
CeNdPt2
1.0
-3.720 -0.656 -0.807
-0.162 -3.106 3.272
0.387 4.207 4.013
Nd Pt Ce
1 2 1
Cartesian
-2.301 3.654 3.355
-3.480 1.528 1.278
-0.380 2.052 5.043
-1.582 -0.012 3.025
```

---

LaHfZr2 | PBE | optimized geometry

## Properties
N(E_F) ... 2.33 states/eV per atom
Formation energy ... 0.28 eV/atom
Space group ... No. 225
Energy relative to the lowest polymorph listed for this composition ... 0.1371 eV/atom

Structure (POSCAR):
```
LaHfZr2
1.0
0.000 3.682 3.682
3.682 0.000 3.682
3.682 3.682 0.000
Hf Zr La
1 2 1
Cartesian
3.682 3.682 3.682
1.841 1.841 1.841
5.523 5.523 5.523
0.000 0.000 0.000
```

---

DyTm2Mg | PBE | optimized geometry

## Properties
N(E_F) ... 1.02 states/eV per atom
Formation energy ... -0.03 eV/atom
Space group ... No. 69
Energy relative to the lowest polymorph listed for this composition ... 0.0000 eV/atom

Structure (POSCAR):
```
DyTm2Mg
1.0
4.812 0.012 -1.333
-0.389 4.796 -1.333
0.162 0.177 9.898
Tm Dy Mg
4 2 2
Cartesian
2.487 0.094 4.283
0.702 0.763 7.191
3.883 4.221 0.041
-0.113 2.486 4.283
1.679 1.825 1.402
2.906 3.159 5.831
0.911 3.600 -1.333
3.511 1.208 -1.333
```

---

LaReHg | PBE | optimized geometry

## Properties
N(E_F) ... 1.49 states/eV per atom
Formation energy ... 0.54 eV/atom
Space group ... No. 156
Energy relative to the lowest polymorph listed for this composition ... 0.0046 eV/atom

Structure (POSCAR):
```
LaReHg
1.0
-0.792 -5.025 -0.726
4.227 1.609 2.439
-1.424 -0.146 2.565
Hg Re La
1 1 1
Cartesian
-1.188 -0.122 2.141
1.369 -0.724 3.518
0.406 -2.862 1.184
```

---

PaMn | PBE | optimized geometry

## Properties
N(E_F) ... 1.55 states/eV per atom
Formation energy ... 0.18 eV/atom
Space group ... No. 221

Structure (POSCAR):
```
PaMn
1.0
3.322 0.000 0.000
0.000 3.322 0.000
0.000 0.000 3.322
Pa Mn
1 1
Cartesian
0.000 0.000 0.000
1.661 1.661 1.661
```

---

LiPmHo2Te4 | PBE | optimized geometry

## Properties
Formation energy from raw total energies ... -1.317 eV/atom
N(E_F) ... 0.38 states/eV per atom
Space group ... No. 10

Structure (POSCAR):
```
LiPmHo2Te4
1.0
-1.968 3.556 -1.513
-6.129 -4.121 -1.714
-0.674 2.633 7.064
Te Li Ho Pm
4 1 2 1
Cartesian
-4.714 -2.403 0.485
-2.752 1.370 0.584
-2.089 0.915 4.865
-6.020 0.697 3.252
-4.048 -0.283 -1.613
-1.321 3.095 2.775
-3.402 -0.744 2.675
0.000 0.000 0.000
```

---

Al2PtCl | PBE | optimized geometry

## Properties
Formation energy from raw total energies ... -0.367 eV/atom
N(E_F) ... 0.46 states/eV per atom
Space group ... No. 99
Energy relative to the lowest polymorph listed for this composition ... 0.4203 eV/atom

Structure (POSCAR):
```
Al2PtCl
1.0
-2.658 1.334 0.215
-1.346 -2.656 -0.158
0.340 -0.670 8.355
Al Cl Pt
2 1 1
Cartesian
0.340 -0.670 8.351
-1.921 -0.820 2.010
0.147 -0.290 3.620
-1.720 -1.217 6.962
```

---

ScNi2Ir | PBE | optimized geometry

## Properties
N(E_F) ... 1.07 states/eV per atom
Formation energy ... -0.05 eV/atom
Space group ... No. 122

Structure (POSCAR):
```
ScNi2Ir
1.0
3.725 0.000 0.000
0.000 3.725 0.000
1.863 1.863 8.842
Sc Ni Ir
2 4 2
Cartesian
1.863 1.863 0.000
1.863 3.725 4.421
2.923 0.931 2.211
0.802 2.794 2.211
2.794 2.664 6.632
4.656 4.786 6.632
3.725 1.863 4.421
0.000 0.000 0.000
```

---

AgICl3 | PBE | optimized geometry

## Properties
Formation energy from raw total energies ... -0.051 eV/atom
N(E_F) ... 0.75 states/eV per atom
Space group ... No. 160
Energy relative to the lowest polymorph listed for this composition ... 0.1869 eV/atom

Structure (POSCAR):
```
AgICl3
1.0
-4.840 -4.014 -0.177
1.851 -2.905 -5.263
3.014 -4.669 2.947
Ag Cl I
1 3 1
Cartesian
0.006 -2.486 -0.535
1.358 -3.980 0.918
-2.169 -3.686 -0.485
0.836 -3.188 -2.769
0.025 -11.283 -2.428
```

---

In2Co21B6 | PBE | optimized geometry

## Properties
N(E_F) ... 1.41 states/eV per atom
Formation energy ... -0.14 eV/atom
Space group ... No. 225

Structure (POSCAR):
```
In2Co21B6
1.0
-5.590 -4.843 1.143
0.368 -6.891 -2.897
1.019 -5.898 4.493
Co In B
21 2 6
Cartesian
0.245 -4.584 -1.927
-1.627 -6.205 -1.544
-1.194 -5.545 3.371
-1.872 -1.622 0.383
-4.165 -9.014 1.578
-1.456 -9.945 -0.259
-3.377 -5.197 2.265
-2.579 -10.820 1.681
0.801 -6.231 2.018
0.000 0.000 0.000
0.341 -1.975 1.504
-2.746 -7.688 2.998
-1.160 -9.494 3.101
0.123 -2.307 -0.970
-3.042 -8.139 -0.362
-3.718 -3.222 0.760
-3.595 -5.529 -0.210
0.586 -6.559 -0.423
-1.623 -6.812 1.058
-0.037 -8.618 1.161
0.678 -3.923 2.988
-3.152 -13.224 2.054
-1.051 -4.408 0.685
-3.664 -7.036 1.268
-0.538 -10.597 1.471
-0.994 -7.953 -0.542
-3.499 -10.124 -0.030
-3.208 -9.679 3.281
-0.703 -7.509 2.769
```

---

CaLa2DyS4 | PBE | optimized geometry

## Properties
Formation energy from raw total energies ... -2.094 eV/atom
N(E_F) ... 0.46 states/eV per atom
Space group ... No. 10

Structure (POSCAR):
```
CaLa2DyS4
1.0
4.030 0.000 0.000
0.000 7.006 0.133
0.000 -2.437 6.655
La Ca S Dy
2 1 4 1
Cartesian
2.015 -1.219 3.327
0.000 2.284 3.394
0.000 0.000 0.000
0.000 -0.063 5.151
2.015 3.403 5.200
2.015 1.166 1.588
0.000 4.632 1.637
2.015 3.503 0.067
```

---

TbHo4Sb5 | PBE | optimized geometry

## Properties
Formation energy from raw total energies ... -1.121 eV/atom
N(E_F) ... 0.20 states/eV per atom
Space group ... No. 71

Structure (POSCAR):
```
TbHo4Sb5
1.0
-0.184 2.527 -3.566
-6.158 -0.554 -0.074
2.298 7.883 8.149
Ho Sb Tb
4 5 1
Cartesian
-0.350 3.556 2.537
-3.346 2.761 -0.554
-3.694 6.300 1.971
-0.699 7.095 5.063
-3.428 3.268 2.492
-0.268 3.053 -0.506
-3.776 6.803 5.015
-0.616 6.588 2.016
-3.079 -0.277 -0.037
0.000 0.000 0.000
```